(1)
ZnAgAu3 | PBE | optimized geometry

Properties
As for the distance to the lowest polymorph of the same formula: 0.000 eV/atom. For the formation energy, the calculation gives -0.121 eV/atom. For the final energy, the calculation gives -0.214 Ry/atom. The volume is 173.06 Å³/cell.

Unit cell a=2.991 b=7.660 c=7.934 alpha=104.55 beta=100.07 gamma=90.24
Positions (direct):
Zn  0.111  0.058  0.222
Zn  0.889  0.942  0.778
Ag  0.099  0.543  0.188
Ag  0.901  0.457  0.812
Au  0.302  0.656  0.603
Au  0.307  0.148  0.615
Au  0.498  0.786  0.999
Au  0.502  0.214  0.001
Au  0.693  0.852  0.385
Au  0.698  0.344  0.397

(2)
Zn3Ag2Au | PBE | optimized geometry

Properties
As for the distance to the lowest polymorph of the same formula: 0.000 eV/atom. For the formation energy, the calculation gives -0.077 eV/atom. For the final energy, the calculation gives -0.162 Ry/atom. The volume is 197.47 Å³/cell.

Unit cell a=9.100 b=8.426 c=5.245 alpha=79.76 beta=65.68 gamma=34.56
Positions (direct):
Zn  0.165  0.671  0.329
Zn  0.170  0.170  0.830
Zn  0.329  0.835  0.165
Zn  0.671  0.165  0.835
Zn  0.830  0.830  0.170
Zn  0.835  0.329  0.671
Ag  0.246  0.754  0.754
Ag  0.250  0.250  0.250
Ag  0.750  0.750  0.750
Ag  0.754  0.246  0.246
Au  0.336  0.336  0.664
Au  0.664  0.664  0.336

(3)
Zn3Ag4Au | PBE | optimized geometry

Properties
As for the distance to the lowest polymorph of the same formula: 0.023 eV/atom. For the formation energy, the calculation gives -0.033 eV/atom. For the final energy, the calculation gives -0.172 Ry/atom. The volume is 133.89 Å³/cell.

Unit cell a=9.808 b=9.808 c=3.078 alpha=98.85 beta=98.85 gamma=27.26
Positions (direct):
Zn  0.000  0.000  0.000
Zn  0.237  0.237  0.237
Zn  0.763  0.763  0.763
Ag  0.116  0.116  0.616
Ag  0.358  0.358  0.859
Ag  0.642  0.642  0.141
Ag  0.884  0.884  0.384
Au  0.500  0.500  0.500

(4)
Zn4Ag3Au8 | PBE | optimized geometry

Properties
For the formation energy, the calculation gives -0.114 eV/atom. For the final energy, the calculation gives -0.204 Ry/atom. The volume is 523.89 Å³/cell.

Unit cell a=9.049 b=9.049 c=9.049 alpha=60.00 beta=60.00 gamma=60.00
Positions (direct):
Zn  0.000  0.000  0.000
Zn  0.000  0.000  0.500
Zn  0.000  0.500  0.000
Zn  0.000  0.500  0.500
Zn  0.500  0.000  0.000
Zn  0.500  0.000  0.500
Zn  0.500  0.500  0.000
Zn  0.500  0.500  0.500
Ag  0.215  0.215  0.785
Ag  0.215  0.785  0.215
Ag  0.215  0.785  0.785
Ag  0.785  0.215  0.215
Ag  0.785  0.215  0.785
Ag  0.785  0.785  0.215
Au  0.142  0.619  0.619
Au  0.155  0.155  0.155
Au  0.155  0.155  0.535
Au  0.155  0.535  0.155
Au  0.381  0.381  0.381
Au  0.381  0.381  0.858
Au  0.381  0.858  0.381
Au  0.465  0.845  0.845
Au  0.535  0.155  0.155
Au  0.619  0.142  0.619
Au  0.619  0.619  0.142
Au  0.619  0.619  0.619
Au  0.845  0.465  0.845
Au  0.845  0.845  0.465
Au  0.845  0.845  0.845
Au  0.858  0.381  0.381